A plane-wave DFT calculation with GGA-PBE was carried out for TaHgAu2 after structural relaxation.

POSCAR file:
```
TaHgAu2
1.0
-2.226 2.226 3.746
2.226 -2.226 3.746
2.226 2.226 -3.746
Ta Hg Au
1 1 2
direct
0.000 0.000 0.000
0.750 0.250 0.500
0.250 0.750 0.500
0.500 0.500 0.000
```

## Properties
Energy of formation from the pure elements   287 meV per atom
V   18.6 Å³/atom

***

A plane-wave DFT calculation with GGA-PBE was carried out for Ta2HgAu after structural relaxation.

POSCAR file:
```
Ta2HgAu
1.0
2.895 0.000 0.000
0.000 2.895 0.000
0.000 0.000 8.970
Ta Hg Au
2 1 1
direct
0.000 0.000 0.000
0.500 0.500 0.250
0.500 0.500 0.743
0.000 0.000 0.480
```

## Properties
Energy of formation from the pure elements   89 meV per atom
V   18.8 Å³/atom

***

A plane-wave DFT calculation with GGA-PBE was carried out for TaHgAu2 after structural relaxation.

POSCAR file:
```
TaHgAu2
1.0
2.910 0.000 0.000
0.000 5.089 0.000
0.000 0.000 5.140
Ta Hg Au
1 1 2
direct
0.000 0.000 0.000
0.500 0.000 0.500
0.000 0.500 0.500
0.500 0.500 0.000
```

## Properties
Energy of formation from the pure elements   311 meV per atom
V   19.0 Å³/atom

***

A plane-wave DFT calculation with GGA-PBE was carried out for TaHgAu after structural relaxation.

POSCAR file:
```
TaHgAu
1.0
0.000 3.171 3.171
3.171 0.000 3.171
3.171 3.171 0.000
Ta Hg Au
1 1 1
direct
0.000 0.000 0.000
0.500 0.500 0.500
0.750 0.750 0.750
```

## Properties
Energy of formation from the pure elements   435 meV per atom
V   21.3 Å³/atom
Energy above the most stable polymorph in this dataset   433 meV per atom

***

A plane-wave DFT calculation with GGA-PBE was carried out for TaZn2HgAu after structural relaxation.

POSCAR file:
```
TaZn2HgAu
1.0
4.759 0.000 0.000
0.000 4.759 0.000
0.000 0.000 5.175
Ta Zn Hg Au
1 2 1 1
direct
0.000 0.000 0.000
0.000 0.500 0.500
0.500 0.000 0.500
0.500 0.500 0.000
0.000 0.000 0.500
```

## Properties
Energy of formation from the pure elements   738 meV per atom
V   23.4 Å³/atom

***

A plane-wave DFT calculation with GGA-PBE was carried out for Tb4Hg3Au after structural relaxation.

POSCAR file:
```
Tb4Hg3Au
1.0
3.700 0.000 0.000
0.000 3.700 0.000
0.000 0.000 14.884
Tb Hg Au
4 3 1
direct
0.000 0.000 0.117
0.000 0.000 0.372
0.000 0.000 0.628
0.000 0.000 0.883
0.500 0.500 0.248
0.500 0.500 0.500
0.500 0.500 0.752
0.500 0.500 0.000
```

## Properties
Energy of formation from the pure elements   -575 meV per atom
V   25.5 Å³/atom

***

A plane-wave DFT calculation with GGA-PBE was carried out for Tb5Hg2Au2 after structural relaxation.

POSCAR file:
```
Tb5Hg2Au2
1.0
8.347 -3.844 0.000
8.347 3.844 0.000
0.000 0.000 7.485
Tb Hg Au
10 4 4
direct
0.000 0.000 0.000
0.043 0.689 0.667
0.189 0.543 0.167
0.311 0.957 0.667
0.457 0.811 0.167
0.500 0.500 0.500
0.543 0.189 0.833
0.689 0.043 0.333
0.811 0.457 0.833
0.957 0.311 0.333
0.216 0.216 0.000
0.284 0.284 0.500
0.716 0.716 0.500
0.784 0.784 0.000
0.135 0.865 0.368
0.365 0.635 0.868
0.635 0.365 0.132
0.865 0.135 0.632
```

## Properties
Energy of formation from the pure elements   -565 meV per atom
V   26.7 Å³/atom

***

A plane-wave DFT calculation with GGA-PBE was carried out for TbHgAu after structural relaxation.

POSCAR file:
```
TbHgAu
1.0
0.000 3.402 3.402
3.402 0.000 3.402
3.402 3.402 0.000
Tb Hg Au
1 1 1
direct
0.000 0.000 0.000
0.500 0.500 0.500
0.250 0.250 0.250
```

## Properties
Energy of formation from the pure elements   -519 meV per atom
V   26.2 Å³/atom

***

A plane-wave DFT calculation with GGA-PBE was carried out for Tb4Hg5Au after structural relaxation.

POSCAR file:
```
Tb4Hg5Au
1.0
7.764 -2.569 0.000
7.764 2.569 0.000
-1.811 0.000 6.259
Tb Hg Au
4 5 1
direct
0.089 0.089 0.368
0.316 0.316 0.200
0.684 0.684 0.800
0.911 0.911 0.632
0.109 0.109 0.911
0.289 0.289 0.681
0.500 0.500 0.000
0.711 0.711 0.319
0.891 0.891 0.089
0.500 0.500 0.500
```

## Properties
Energy of formation from the pure elements   -494 meV per atom
V   25.0 Å³/atom

***

A plane-wave DFT calculation with GGA-PBE was carried out for Tb3Hg2Au3 after structural relaxation.

POSCAR file:
```
Tb3Hg2Au3
1.0
8.757 0.000 0.000
-4.379 7.584 0.000
0.000 0.000 5.950
Tb Hg Au
6 4 6
direct
0.000 0.294 0.250
0.000 0.706 0.750
0.294 0.000 0.250
0.294 0.294 0.750
0.706 0.000 0.750
0.706 0.706 0.250
0.333 0.667 0.000
0.333 0.667 0.500
0.667 0.333 0.000
0.667 0.333 0.500
0.000 0.361 0.750
0.000 0.639 0.250
0.361 0.000 0.750
0.361 0.361 0.250
0.639 0.000 0.250
0.639 0.639 0.750
```

## Properties
Energy of formation from the pure elements   -624 meV per atom
V   24.7 Å³/atom
Energy above the most stable polymorph in this dataset   31 meV per atom

***

A plane-wave DFT calculation with GGA-PBE was carried out for Tb8Hg2Au after structural relaxation.

POSCAR file:
```
Tb8Hg2Au
1.0
9.083 -2.591 0.000
9.083 2.591 0.000
-1.589 0.000 6.727
Tb Hg Au
8 2 1
direct
0.022 0.022 0.269
0.202 0.202 0.821
0.340 0.340 0.528
0.410 0.410 0.047
0.590 0.590 0.953
0.660 0.660 0.472
0.798 0.798 0.179
0.978 0.978 0.731
0.187 0.187 0.238
0.813 0.813 0.762
0.500 0.500 0.500
```

## Properties
Energy of formation from the pure elements   -298 meV per atom
V   28.8 Å³/atom
Energy above the most stable polymorph in this dataset   0 meV per atom

***

A plane-wave DFT calculation with GGA-PBE was carried out for Tb2HgAu3 after structural relaxation.

POSCAR file:
```
Tb2HgAu3
1.0
5.045 0.000 0.000
-2.522 4.369 0.000
0.000 0.000 12.268
Tb Hg Au
4 2 6
direct
0.000 0.000 0.000
0.000 0.000 0.500
0.333 0.667 0.191
0.667 0.333 0.809
0.333 0.667 0.677
0.667 0.333 0.323
0.000 0.000 0.243
0.000 0.000 0.757
0.333 0.667 0.434
0.333 0.667 0.942
0.667 0.333 0.058
0.667 0.333 0.566
```

## Properties
Energy of formation from the pure elements   -702 meV per atom
V   22.5 Å³/atom
Energy above the most stable polymorph in this dataset   0 meV per atom

***

Let's list magnetization in order: 0.00; 0.00; 0.00; 0.00; 0.00; 0.00; 0.00; 0.00; 0.00; 0.00; 0.00; 0.00 μB per cell.